{"formula": "ZnTc2W", "functional": "PBE", "state": "relaxed", "sg": "P4/mmm (123)", "final_energy_ev_per_cell": -34.76, "lattice_angstrom": [[3.176, 0.000, 0.000], [0.000, 3.176, 0.000], [0.000, 0.000, 5.871]], "species": ["Zn", "Tc", "Tc", "W"], "fractional_positions": [[0.000, 0.000, 0.000], [0.500, 0.500, 0.245], [0.500, 0.500, 0.755], [0.000, 0.000, 0.500]]}